# 1
# TcAg2Sn

Crystalline TcAg2Sn at its relaxed geometry (PBE, the Alexandria database).

Cell and atoms, written as POSCAR:
```
TcAg2Sn
1.0
3.894 0.000 0.000
0.000 3.894 0.000
0.000 0.000 20.791
Tc Ag Sn
4 8 4
Direct
0.000 0.000 0.000
0.000 0.500 0.250
0.500 0.000 0.750
0.500 0.500 0.500
0.245 0.250 0.125
0.250 0.745 0.375
0.250 0.755 0.875
0.255 0.250 0.625
0.745 0.750 0.625
0.750 0.245 0.875
0.750 0.255 0.375
0.755 0.750 0.125
0.000 0.000 0.500
0.000 0.500 0.750
0.500 0.000 0.250
0.500 0.500 0.000
```

## Properties
Total moment ... 0.39 μB per atom
Energy relative to the elements ... 0.505 eV per atom

# 2
# ZrFeOs4

Crystalline ZrFeOs4 at its relaxed geometry (PBE, the Alexandria database).

Cell and atoms, written as POSCAR:
```
ZrFeOs4
1.0
0.000 3.659 3.659
3.659 0.000 3.659
3.659 3.659 0.000
Zr Fe Os
1 1 4
Direct
0.000 0.000 0.000
0.750 0.750 0.750
0.375 0.375 0.375
0.375 0.375 0.874
0.375 0.874 0.375
0.874 0.375 0.375
```

## Properties
Total moment ... 0.63 μB per atom
Energy relative to the elements ... 0.166 eV per atom

# 3
# AcSm8Bi6

Crystalline AcSm8Bi6 at its relaxed geometry (PBE, the Alexandria database).

Cell and atoms, written as POSCAR:
```
AcSm8Bi6
1.0
4.217 2.435 8.620
-4.217 2.435 8.620
0.000 -4.870 8.620
Ac Sm Bi
1 8 6
Direct
0.000 0.000 0.000
0.127 0.801 0.440
0.199 0.560 0.873
0.334 0.334 0.334
0.440 0.127 0.801
0.560 0.873 0.199
0.666 0.666 0.666
0.801 0.440 0.127
0.873 0.199 0.560
0.066 0.419 0.723
0.277 0.934 0.581
0.419 0.723 0.066
0.581 0.277 0.934
0.723 0.066 0.419
0.934 0.581 0.277
```

## Properties
Total moment ... 0.00 μB per atom
Energy relative to the elements ... -0.582 eV per atom

# 4
# Pu4P3Se

Crystalline Pu4P3Se at its relaxed geometry (PBE, the Alexandria database).

Cell and atoms, written as POSCAR:
```
Pu4P3Se
1.0
2.010 1.161 13.254
-2.010 1.161 13.254
0.000 -2.321 13.254
Pu P Se
4 3 1
Direct
0.121 0.121 0.121
0.374 0.374 0.374
0.626 0.626 0.626
0.879 0.879 0.879
0.000 0.000 0.000
0.251 0.251 0.251
0.749 0.749 0.749
0.500 0.500 0.500
```

## Properties
Total moment ... 0.05 μB per atom
E_form (uncorrected) ... -9.9 eV/f.u.